No. 1
# Tb9Tl3O2 | the Alexandria database | PBE-GGA | optimized geometry
data_Tb9Tl3O2
_space_group_name_H-M_alt 'P -3 m 1'
_space_group_IT_number 164
_space_group_name_Hall '-P 3 2"'
_cell_length_a 6.8581
_cell_length_b 6.8581
_cell_length_c 8.4172
_cell_angle_alpha 90.00
_cell_angle_beta 90.00
_cell_angle_gamma 120.00
loop_
_atom_site_label
_atom_site_type_symbol
_atom_site_fract_x
_atom_site_fract_y
_atom_site_fract_z
Tb1 Tb 0.0000 0.5000 0.0000
Tb2 Tb 0.1683 0.3366 0.6685
Tl1 Tl 0.0000 0.0000 0.0000
Tl2 Tl 0.3333 0.6667 0.3322
O1 O 0.3333 0.6667 0.8420
# uncorrected formation energy: -1.00 eV per atom
# final energy: -72.68 eV per cell

---

No. 2
# TiPb2BrO | the Alexandria database | PBE-GGA | optimized geometry
data_TiPb2BrO
_space_group_name_H-M_alt 'P 4/m m m'
_space_group_IT_number 123
_space_group_name_Hall '-P 4 2'
_cell_length_a 5.802
_cell_length_b 5.802
_cell_length_c 3.767
_cell_angle_alpha 90.00
_cell_angle_beta 90.00
_cell_angle_gamma 90.00
loop_
_atom_site_label
_atom_site_type_symbol
_atom_site_fract_x
_atom_site_fract_y
_atom_site_fract_z
Ti1 Ti 0.000 0.000 0.000
Pb1 Pb 0.000 0.500 0.000
Br1 Br 0.500 0.500 0.500
O1 O 0.000 0.000 0.500
# uncorrected formation energy: -0.73 eV per atom
# final energy: -25.57 eV per cell

---

No. 3
# In4AgPbS8 | the Alexandria database | PBE-GGA | optimized geometry
data_In4AgPbS8
_space_group_name_H-M_alt 'R 3 m'
_space_group_IT_number 160
_space_group_name_Hall 'R 3 -2"'
_cell_length_a 7.8486
_cell_length_b 7.8486
_cell_length_c 19.2324
_cell_angle_alpha 90.00
_cell_angle_beta 90.00
_cell_angle_gamma 120.00
loop_
_atom_site_label
_atom_site_type_symbol
_atom_site_fract_x
_atom_site_fract_y
_atom_site_fract_z
In1 In 0.0000 0.0000 0.0000
In2 In 0.1743 0.3487 0.2091
Ag1 Ag 0.0000 0.0000 0.7514
Pb1 Pb 0.0000 0.0000 0.3834
S1 S 0.0000 0.0000 0.1349
S2 S 0.0000 0.0000 0.6195
S3 S 0.0102 0.5051 0.1350
S4 S 0.1746 0.3492 0.9531
# uncorrected formation energy: -0.43 eV per atom
# final energy: -169.72 eV per cell

---

No. 4
# LiScIr2 | the Alexandria database | PBE-GGA | optimized geometry
data_LiScIr2
_space_group_name_H-M_alt 'P 1 2/m 1'
_space_group_IT_number 10
_cell_length_a 2.837
_cell_length_b 4.042
_cell_length_c 5.371
_cell_angle_alpha 90.00
_cell_angle_beta 104.51
_cell_angle_gamma 90.00
loop_
_space_group_symop_operation_xyz
'x,y,z'
'-x,-y,-z'
'-x,y,-z'
'x,-y,z'
loop_
_atom_site_label
_atom_site_type_symbol
_atom_site_fract_x
_atom_site_fract_y
_atom_site_fract_z
Li1 Li 0.000 0.000 0.000
Sc1 Sc 0.500 0.000 0.500
Ir1 Ir 0.163 0.500 0.776
# energy of formation: -0.4968 eV per atom
# final energy: -27.95 eV per cell

---

No. 5
# ReHg2As | the Alexandria database | PBE-GGA | optimized geometry
data_ReHg2As
_space_group_name_H-M_alt 'P 4/m m m'
_space_group_IT_number 123
_space_group_name_Hall '-P 4 2'
_cell_length_a 3.838
_cell_length_b 3.838
_cell_length_c 5.304
_cell_angle_alpha 90.00
_cell_angle_beta 90.00
_cell_angle_gamma 90.00
loop_
_atom_site_label
_atom_site_type_symbol
_atom_site_fract_x
_atom_site_fract_y
_atom_site_fract_z
Re1 Re 0.000 0.000 0.000
Hg1 Hg 0.500 0.500 0.247
As1 As 0.000 0.000 0.500
# energy of formation: 0.9382 eV per atom
# final energy: -13.95 eV per cell

---

No. 6
# Zr2TiI | the Alexandria database | PBE-GGA | optimized geometry
data_Zr2TiI
_space_group_name_H-M_alt 'I -4 2 d'
_space_group_IT_number 122
_space_group_name_Hall 'I -4 2bw'
_cell_length_a 4.226
_cell_length_b 4.226
_cell_length_c 20.752
_cell_angle_alpha 90.00
_cell_angle_beta 90.00
_cell_angle_gamma 90.00
loop_
_atom_site_label
_atom_site_type_symbol
_atom_site_fract_x
_atom_site_fract_y
_atom_site_fract_z
Zr1 Zr 0.250 0.250 0.125
Ti1 Ti 0.000 0.000 0.000
I1 I 0.000 0.000 0.500
# uncorrected formation energy: 0.44 eV per atom
# excess energy over the best structure of this formula in the dataset: 3.8 kJ per mole of atoms
# final energy: -99.10 eV per cell

---

No. 7
# CuAg2Ir | the Alexandria database | PBE-GGA | optimized geometry
data_CuAg2Ir
_space_group_name_H-M_alt 'I 4/m m m'
_space_group_IT_number 139
_space_group_name_Hall '-I 4 2'
_cell_length_a 3.897
_cell_length_b 3.897
_cell_length_c 8.220
_cell_angle_alpha 90.00
_cell_angle_beta 90.00
_cell_angle_gamma 90.00
loop_
_atom_site_label
_atom_site_type_symbol
_atom_site_fract_x
_atom_site_fract_y
_atom_site_fract_z
Cu1 Cu 0.000 0.000 0.000
Ag1 Ag 0.000 0.500 0.250
Ir1 Ir 0.000 0.000 0.500
# energy of formation: 0.4150 eV per atom
# excess energy over the best structure of this formula in the dataset: 20.9 kJ per mole of atoms
# final energy: -34.00 eV per cell

---

No. 8
# KBeFe2 | the Alexandria database | PBE-GGA | optimized geometry
data_KBeFe2
_space_group_name_H-M_alt 'C 1 2/m 1'
_space_group_IT_number 12
_cell_length_a 5.516
_cell_length_b 9.301
_cell_length_c 2.596
_cell_angle_alpha 90.00
_cell_angle_beta 112.27
_cell_angle_gamma 90.00
loop_
_space_group_symop_operation_xyz
'x,y,z'
'-x,-y,-z'
'-x,y,-z'
'x,-y,z'
'x+1/2,y+1/2,z'
'-x+1/2,-y+1/2,-z'
'-x+1/2,y+1/2,-z'
'x+1/2,-y+1/2,z'
loop_
_atom_site_label
_atom_site_type_symbol
_atom_site_fract_x
_atom_site_fract_y
_atom_site_fract_z
K1 K 0.000 0.000 0.000
Be1 Be 0.000 0.500 0.000
Fe1 Fe 0.250 0.250 0.500
# energy of formation: 1.2500 eV per atom
# final energy: -33.50 eV per cell

---

No. 9
# LiY2SbS | the Alexandria database | PBE-GGA | optimized geometry
data_LiY2SbS
_space_group_name_H-M_alt 'P 4/m m m'
_space_group_IT_number 123
_space_group_name_Hall '-P 4 2'
_cell_length_a 5.386
_cell_length_b 5.386
_cell_length_c 3.994
_cell_angle_alpha 90.00
_cell_angle_beta 90.00
_cell_angle_gamma 90.00
loop_
_atom_site_label
_atom_site_type_symbol
_atom_site_fract_x
_atom_site_fract_y
_atom_site_fract_z
Li1 Li 0.000 0.000 0.000
Y1 Y 0.000 0.500 0.000
Sb1 Sb 0.500 0.500 0.500
S1 S 0.000 0.000 0.500
# uncorrected formation energy: -0.51 eV per atom
# excess energy over the best structure of this formula in the dataset: 0.0 kJ per mole of atoms
# final energy: -25.64 eV per cell

---

No. 10
# HgAsBr2 | the Alexandria database | PBE-GGA | optimized geometry
data_HgAsBr2
_space_group_name_H-M_alt 'A m m 2'
_space_group_IT_number 38
_cell_length_a 3.917
_cell_length_b 6.336
_cell_length_c 9.206
_cell_angle_alpha 90.00
_cell_angle_beta 90.00
_cell_angle_gamma 90.00
loop_
_space_group_symop_operation_xyz
'x,y,z'
'-x,-y,z'
'-x,y,z'
'x,-y,z'
'x,y+1/2,z+1/2'
'-x,-y+1/2,z+1/2'
'-x,y+1/2,z+1/2'
'x,-y+1/2,z+1/2'
loop_
_atom_site_label
_atom_site_type_symbol
_atom_site_fract_x
_atom_site_fract_y
_atom_site_fract_z
Hg1 Hg 0.000 0.000 0.000
As1 As 0.500 0.000 0.217
Br1 Br 0.000 0.000 0.417
Br2 Br 0.500 0.000 0.760
# uncorrected formation energy: -0.01 eV per atom
# excess energy over the best structure of this formula in the dataset: 11.1 kJ per mole of atoms
# final energy: -16.68 eV per cell

---

No. 11
# ErGe3Ir2 | the Alexandria database | PBE-GGA | optimized geometry
data_ErGe3Ir2
_space_group_name_H-M_alt 'C 1 2/m 1'
_space_group_IT_number 12
_cell_length_a 15.763
_cell_length_b 3.960
_cell_length_c 7.516
_cell_angle_alpha 90.00
_cell_angle_beta 113.20
_cell_angle_gamma 90.00
loop_
_space_group_symop_operation_xyz
'x,y,z'
'-x,-y,-z'
'-x,y,-z'
'x,-y,z'
'x+1/2,y+1/2,z'
'-x+1/2,-y+1/2,-z'
'-x+1/2,y+1/2,-z'
'x+1/2,-y+1/2,z'
loop_
_atom_site_label
_atom_site_type_symbol
_atom_site_fract_x
_atom_site_fract_y
_atom_site_fract_z
Er1 Er 0.126 0.000 0.152
Ge1 Ge 0.045 0.000 0.672
Ge2 Ge 0.165 0.500 0.468
Ge3 Ge 0.182 0.500 0.903
Ir1 Ir 0.008 0.500 0.825
Ir2 Ir 0.213 0.000 0.712
# energy of formation: -0.5343 eV per atom
# final energy: -157.37 eV per cell

---

No. 12
# Mn3NiBr | the Alexandria database | PBE-GGA | optimized geometry
data_Mn3NiBr
_space_group_name_H-M_alt 'P m -3 m'
_space_group_IT_number 221
_space_group_name_Hall '-P 4 2 3'
_cell_length_a 4.640
_cell_length_b 4.640
_cell_length_c 4.640
_cell_angle_alpha 90.00
_cell_angle_beta 90.00
_cell_angle_gamma 90.00
loop_
_atom_site_label
_atom_site_type_symbol
_atom_site_fract_x
_atom_site_fract_y
_atom_site_fract_z
Mn1 Mn 0.000 0.000 0.500
Ni1 Ni 0.000 0.000 0.000
Br1 Br 0.500 0.500 0.500
# uncorrected formation energy: 0.64 eV per atom
# final energy: -31.75 eV per cell